Record 1
# MgGa3Rh2, optimized geometry, DFT PBE
# DFT formation energy in eV/atom: -0.359
# Total magnetization in μB per formula unit: 0.0
# Fermi-level density of states in states/eV per cell: 7.38
# Energy above the most stable polymorph in this dataset in kJ per mole of atoms: 16.4
data_MgGa3Rh2
_chemical_formula_sum 'Mg2 Ga6 Rh4'
_symmetry_space_group_name_H-M 'P 1'
_symmetry_Int_Tables_number 1
_cell_length_a 5.900
_cell_length_b 5.900
_cell_length_c 6.366
_cell_angle_alpha 90.00
_cell_angle_beta 90.00
_cell_angle_gamma 120.00
loop_
_symmetry_equiv_pos_as_xyz
'x,y,z'
loop_
_atom_site_label
_atom_site_fract_x
_atom_site_fract_y
_atom_site_fract_z
_atom_site_occupancy
Mg1 0.333 0.667 0.175 1
Mg2 0.667 0.333 0.825 1
Ga1 0.166 0.332 0.805 1
Ga2 0.166 0.834 0.805 1
Ga3 0.332 0.166 0.195 1
Ga4 0.668 0.834 0.805 1
Ga5 0.834 0.166 0.195 1
Ga6 0.834 0.668 0.195 1
Rh1 0.000 0.000 0.500 1
Rh2 0.000 0.500 0.500 1
Rh3 0.500 0.000 0.500 1
Rh4 0.500 0.500 0.500 1

***

Record 2
# MgGaRh2, optimized geometry, DFT PBE
# DFT formation energy in eV/atom: -0.690
# Total magnetization in μB per formula unit: 0.0
# Fermi-level density of states in states/eV per cell: 1.58
data_MgGaRh2
_chemical_formula_sum 'Mg1 Ga1 Rh2'
_symmetry_space_group_name_H-M 'P 1'
_symmetry_Int_Tables_number 1
_cell_length_a 4.319
_cell_length_b 4.319
_cell_length_c 3.069
_cell_angle_alpha 90.00
_cell_angle_beta 90.00
_cell_angle_gamma 90.00
loop_
_symmetry_equiv_pos_as_xyz
'x,y,z'
loop_
_atom_site_label
_atom_site_fract_x
_atom_site_fract_y
_atom_site_fract_z
_atom_site_occupancy
Mg1 0.000 0.000 0.000 1
Ga1 0.500 0.500 0.000 1
Rh1 0.000 0.500 0.500 1
Rh2 0.500 0.000 0.500 1

***

Record 3
# Mg3Ga9Rh2, optimized geometry, DFT PBE
# DFT formation energy in eV/atom: -0.308
# Total magnetization in μB per formula unit: 0.0
# Fermi-level density of states in states/eV per cell: 3.98
data_Mg3Ga9Rh2
_chemical_formula_sum 'Mg3 Ga9 Rh2'
_symmetry_space_group_name_H-M 'P 1'
_symmetry_Int_Tables_number 1
_cell_length_a 7.938
_cell_length_b 7.938
_cell_length_c 7.938
_cell_angle_alpha 149.66
_cell_angle_beta 102.39
_cell_angle_gamma 85.55
loop_
_symmetry_equiv_pos_as_xyz
'x,y,z'
loop_
_atom_site_label
_atom_site_fract_x
_atom_site_fract_y
_atom_site_fract_z
_atom_site_occupancy
Mg1 0.000 0.000 0.000 1
Mg2 0.296 0.296 0.000 1
Mg3 0.704 0.704 0.000 1
Ga1 0.009 0.640 0.369 1
Ga2 0.149 0.861 0.289 1
Ga3 0.272 0.640 0.631 1
Ga4 0.428 0.139 0.289 1
Ga5 0.500 0.000 0.500 1
Ga6 0.572 0.861 0.711 1
Ga7 0.728 0.360 0.369 1
Ga8 0.851 0.139 0.711 1
Ga9 0.991 0.360 0.631 1
Rh1 0.343 0.500 0.843 1
Rh2 0.657 0.500 0.157 1

***

Record 4
# Mg3Ga2Rh, optimized geometry, DFT PBE
# DFT formation energy in eV/atom: -0.285
# Total magnetization in μB per formula unit: 0.0
# Fermi-level density of states in states/eV per cell: 5.45
# Energy above the most stable polymorph in this dataset in kJ per mole of atoms: 6.0
data_Mg3Ga2Rh
_chemical_formula_sum 'Mg6 Ga4 Rh2'
_symmetry_space_group_name_H-M 'P 1'
_symmetry_Int_Tables_number 1
_cell_length_a 7.921
_cell_length_b 7.921
_cell_length_c 7.921
_cell_angle_alpha 138.30
_cell_angle_beta 61.84
_cell_angle_gamma 136.49
loop_
_symmetry_equiv_pos_as_xyz
'x,y,z'
loop_
_atom_site_label
_atom_site_fract_x
_atom_site_fract_y
_atom_site_fract_z
_atom_site_occupancy
Mg1 0.170 0.244 0.414 1
Mg2 0.250 0.250 0.000 1
Mg3 0.330 0.744 0.073 1
Mg4 0.670 0.256 0.927 1
Mg5 0.750 0.750 0.000 1
Mg6 0.830 0.756 0.586 1
Ga1 0.127 0.719 0.846 1
Ga2 0.373 0.219 0.593 1
Ga3 0.627 0.781 0.407 1
Ga4 0.873 0.281 0.154 1
Rh1 0.250 0.750 0.500 1
Rh2 0.750 0.250 0.500 1

***

Record 5
# Mg3Ga4Rh4, optimized geometry, DFT PBE
# DFT formation energy in eV/atom: -0.345
# Total magnetization in μB per formula unit: 0.0
# Fermi-level density of states in states/eV per cell: 5.37
# Energy above the most stable polymorph in this dataset in kJ per mole of atoms: 16.7
data_Mg3Ga4Rh4
_chemical_formula_sum 'Mg3 Ga4 Rh4'
_symmetry_space_group_name_H-M 'P 1'
_symmetry_Int_Tables_number 1
_cell_length_a 6.494
_cell_length_b 6.494
_cell_length_c 6.494
_cell_angle_alpha 109.47
_cell_angle_beta 109.47
_cell_angle_gamma 109.47
loop_
_symmetry_equiv_pos_as_xyz
'x,y,z'
loop_
_atom_site_label
_atom_site_fract_x
_atom_site_fract_y
_atom_site_fract_z
_atom_site_occupancy
Mg1 0.000 0.500 0.500 1
Mg2 0.500 0.000 0.500 1
Mg3 0.500 0.500 0.000 1
Ga1 0.000 0.000 0.627 1
Ga2 0.000 0.627 0.000 1
Ga3 0.373 0.373 0.373 1
Ga4 0.627 0.000 0.000 1
Rh1 0.000 0.000 0.268 1
Rh2 0.000 0.268 0.000 1
Rh3 0.268 0.000 0.000 1
Rh4 0.732 0.732 0.732 1

***

Record 6
# Mg2GaRh4, optimized geometry, DFT PBE
# DFT formation energy in eV/atom: -0.199
# Total magnetization in μB per formula unit: 0.0
# Fermi-level density of states in states/eV per cell: 8.73
data_Mg2GaRh4
_chemical_formula_sum 'Mg2 Ga1 Rh4'
_symmetry_space_group_name_H-M 'P 1'
_symmetry_Int_Tables_number 1
_cell_length_a 5.226
_cell_length_b 5.226
_cell_length_c 5.226
_cell_angle_alpha 110.00
_cell_angle_beta 110.00
_cell_angle_gamma 108.41
loop_
_symmetry_equiv_pos_as_xyz
'x,y,z'
loop_
_atom_site_label
_atom_site_fract_x
_atom_site_fract_y
_atom_site_fract_z
_atom_site_occupancy
Mg1 0.000 0.500 0.500 1
Mg2 0.500 0.000 0.500 1
Ga1 0.000 0.000 0.000 1
Rh1 0.000 0.000 0.500 1
Rh2 0.000 0.500 0.000 1
Rh3 0.500 0.000 0.000 1
Rh4 0.500 0.500 0.500 1